[1]
{
  "formula": "SmB4Ir",
  "functional": "PBE",
  "state": "optimized geometry",
  "lattice_angstrom": [[3.280, 0.000, 0.000], [-1.640, 2.840, 0.000], [0.000, 0.000, 6.834]],
  "species": ["B", "B", "B", "B", "Sm", "Ir"],
  "fractional_positions": [[0.667, 0.333, 0.790], [0.333, 0.667, 0.210], [0.333, 0.667, 0.790], [0.667, 0.333, 0.210], [0.000, 0.000, 0.500], [0.000, 0.000, 0.000]],
  "m_tot_mub_per_fu": 0.00,
  "crystal_system": "hexagonal",
  "polymorph_energy_ev_per_atom": 0.000
}

***

[2]
{
  "formula": "La2Nd2CBr4Cl",
  "functional": "PBE",
  "state": "optimized geometry",
  "lattice_angstrom": [[9.276, -1.993, 0.000], [9.276, 1.993, 0.000], [-1.987, 0.000, 8.082]],
  "species": ["Br", "Br", "Br", "Br", "Nd", "Nd", "La", "La", "Cl", "C"],
  "fractional_positions": [[0.166, 0.166, 0.353], [0.173, 0.173, 0.836], [0.834, 0.834, 0.647], [0.827, 0.827, 0.164], [0.640, 0.640, 0.081], [0.360, 0.360, 0.919], [0.002, 0.002, 0.785], [0.998, 0.998, 0.215], [0.500, 0.500, 0.500], [0.500, 0.500, 0.000]],
  "m_tot_mub_per_fu": 0.34,
  "crystal_system": "monoclinic",
  "energy_ev_per_cell": -52.23
}

***

[3]
{
  "formula": "DyScCu2Pb2",
  "functional": "PBE",
  "state": "optimized geometry",
  "lattice_angstrom": [[4.553, 0.000, 0.000], [-2.276, 3.943, 0.000], [0.000, 0.000, 7.175]],
  "species": ["Cu", "Cu", "Pb", "Pb", "Dy", "Sc"],
  "fractional_positions": [[0.333, 0.667, 0.064], [0.667, 0.333, 0.549], [0.333, 0.667, 0.453], [0.667, 0.333, 0.971], [0.000, 0.000, 0.732], [0.000, 0.000, 0.231]],
  "m_tot_mub_per_fu": 0.01,
  "crystal_system": "trigonal",
  "energy_ev_per_cell": -27.86
}

***

[4]
{
  "formula": "TaReB4",
  "functional": "PBE",
  "state": "optimized geometry",
  "lattice_angstrom": [[-1.053, -2.394, 1.561], [2.826, 1.021, 0.500], [-2.331, 4.124, 4.751]],
  "species": ["Ta", "B", "B", "B", "B", "Re"],
  "fractional_positions": [[0.000, 0.000, 0.500], [0.333, 0.667, 0.751], [0.667, 0.333, 0.249], [0.333, 0.667, 0.249], [0.667, 0.333, 0.751], [0.000, 0.000, 0.000]],
  "m_tot_mub_per_fu": 0.00,
  "crystal_system": "hexagonal",
  "polymorph_energy_ev_per_atom": 0.012
}

***

[5]
{
  "formula": "MgCuPd",
  "functional": "PBE",
  "state": "optimized geometry",
  "lattice_angstrom": [[-3.292, 2.214, 2.417], [-4.209, -1.505, 1.265], [3.271, -2.003, 3.864]],
  "species": ["Mg", "Mg", "Pd", "Pd", "Cu", "Cu"],
  "fractional_positions": [[0.260, 0.260, 0.100], [0.568, 0.568, 0.736], [0.906, 0.906, 0.904], [0.593, 0.593, 0.257], [0.920, 0.920, 0.417], [0.242, 0.242, 0.578]],
  "crystal_system": "monoclinic",
  "polymorph_energy_ev_per_atom": 0.000
}

***

[6]
{
  "formula": "ScCoReSb",
  "functional": "PBE",
  "state": "optimized geometry",
  "lattice_angstrom": [[0.000, 3.176, 3.176], [3.176, 0.000, 3.176], [3.176, 3.176, 0.000]],
  "species": ["Sb", "Re", "Co", "Sc"],
  "fractional_positions": [[0.000, 0.000, 0.000], [0.250, 0.250, 0.250], [0.750, 0.750, 0.750], [0.500, 0.500, 0.500]],
  "m_tot_mub_per_fu": 0.01,
  "crystal_system": "cubic",
  "polymorph_energy_ev_per_atom": 0.000
}

***

[7]
{
  "formula": "Hf3Re2Os2",
  "functional": "PBE",
  "state": "optimized geometry",
  "lattice_angstrom": [[2.775, -3.350, -6.422], [1.773, -6.667, -3.546], [-1.488, -4.726, -5.969]],
  "species": ["Re", "Re", "Os", "Os", "Hf", "Hf", "Hf"],
  "fractional_positions": [[0.247, 0.247, 0.247], [0.754, 0.754, 0.754], [0.496, 0.496, 0.496], [0.002, 0.002, 0.002], [0.377, 0.377, 0.377], [0.625, 0.625, 0.625], [0.873, 0.873, 0.873]],
  "m_tot_mub_per_fu": 0.00,
  "crystal_system": "trigonal",
  "formation_enthalpy_0k_kj_per_mol_fu": 141
}

***

[8]
{
  "formula": "BaHoNO",
  "functional": "PBE",
  "state": "optimized geometry",
  "lattice_angstrom": [[-1.983, -3.434, 0.000], [0.000, 0.000, 6.117], [-6.156, 3.554, 0.000]],
  "species": ["N", "N", "O", "O", "Ho", "Ho", "Ba", "Ba"],
  "fractional_positions": [[0.000, 0.846, 0.375], [0.000, 0.346, 0.625], [0.500, 0.429, 0.201], [0.500, 0.929, 0.799], [0.000, 0.492, 0.344], [0.000, 0.992, 0.656], [0.500, 0.487, 0.820], [0.500, 0.987, 0.180]],
  "m_tot_mub_per_fu": 0.00,
  "crystal_system": "orthorhombic",
  "polymorph_energy_ev_per_atom": 0.074
}

***

[9]
{
  "formula": "RbTmSnSe3",
  "functional": "PBE",
  "state": "optimized geometry",
  "lattice_angstrom": [[15.979, 0.000, 0.000], [0.000, 4.160, 0.000], [0.000, 0.000, 12.008]],
  "species": ["Se", "Se", "Se", "Se", "Se", "Se", "Se", "Se", "Se", "Se", "Se", "Se", "Sn", "Sn", "Sn", "Sn", "Tm", "Tm", "Tm", "Tm", "Rb", "Rb", "Rb", "Rb"],
  "fractional_positions": [[0.131, 0.750, 0.819], [0.585, 0.750, 0.261], [0.401, 0.750, 0.042], [0.099, 0.250, 0.542], [0.369, 0.250, 0.319], [0.631, 0.750, 0.681], [0.599, 0.250, 0.958], [0.915, 0.250, 0.761], [0.085, 0.750, 0.239], [0.415, 0.250, 0.739], [0.869, 0.250, 0.181], [0.901, 0.750, 0.458], [0.039, 0.250, 0.909], [0.539, 0.250, 0.591], [0.961, 0.750, 0.091], [0.461, 0.750, 0.409], [0.506, 0.750, 0.857], [0.994, 0.250, 0.357], [0.006, 0.750, 0.643], [0.494, 0.250, 0.143], [0.268, 0.750, 0.581], [0.732, 0.250, 0.419], [0.768, 0.750, 0.919], [0.232, 0.250, 0.081]],
  "m_tot_mub_per_fu": 0.00,
  "crystal_system": "orthorhombic",
  "polymorph_energy_ev_per_atom": 0.000
}

***

[10]
{
  "formula": "Sm2Sc2CCl5",
  "functional": "PBE",
  "state": "optimized geometry",
  "lattice_angstrom": [[-7.169, 4.353, 2.154], [-8.524, 1.236, 0.895], [2.071, -3.460, 6.336]],
  "species": ["Cl", "Cl", "Cl", "Cl", "Cl", "Sc", "Sc", "C", "Sm", "Sm"],
  "fractional_positions": [[0.163, 0.163, 0.817], [0.837, 0.837, 0.183], [0.500, 0.500, 0.500], [0.156, 0.156, 0.365], [0.844, 0.844, 0.635], [0.000, 0.000, 0.798], [0.000, 0.000, 0.202], [0.500, 0.500, 0.000], [0.352, 0.352, 0.911], [0.648, 0.648, 0.089]],
  "m_tot_mub_per_fu": 0.11,
  "crystal_system": "monoclinic",
  "polymorph_energy_ev_per_atom": 0.035
}

***

[11]
{
  "formula": "NaCoPb",
  "functional": "PBE",
  "state": "optimized geometry",
  "lattice_angstrom": [[-1.130, 1.965, 3.885], [-4.335, 0.608, 1.035], [-1.890, -2.427, 3.282]],
  "species": ["Co", "Pb", "Na"],
  "fractional_positions": [[0.000, 0.000, 0.000], [0.750, 0.750, 0.750], [0.250, 0.250, 0.250]],
  "m_tot_mub_per_fu": 0.46,
  "crystal_system": "cubic",
  "energy_ev_per_cell": -10.59
}

***

[12]
{
  "formula": "Ho3Er3FeSb2",
  "functional": "PBE",
  "state": "optimized geometry",
  "lattice_angstrom": [[-4.758, -1.485, -6.428], [-2.790, -1.341, 7.522], [-1.417, 3.847, 0.160]],
  "species": ["Fe", "Er", "Er", "Er", "Ho", "Ho", "Ho", "Sb", "Sb"],
  "fractional_positions": [[0.000, 0.000, 0.500], [0.000, 0.767, 0.000], [0.767, 0.000, 0.000], [0.233, 0.233, 0.000], [0.000, 0.395, 0.500], [0.395, 0.000, 0.500], [0.605, 0.605, 0.500], [0.333, 0.667, 0.000], [0.667, 0.333, 0.000]],
  "m_tot_mub_per_fu": 0.70,
  "crystal_system": "hexagonal",
  "polymorph_energy_ev_per_atom": 0.000
}

***

[13]
{
  "formula": "K4Fe2Hg",
  "functional": "PBE",
  "state": "optimized geometry",
  "lattice_angstrom": [[0.485, 0.538, 10.386], [5.421, 3.040, 8.352], [0.382, 6.098, 8.429]],
  "species": ["K", "K", "K", "K", "Hg", "Fe", "Fe"],
  "fractional_positions": [[0.626, 0.626, 0.626], [0.213, 0.213, 0.213], [0.374, 0.374, 0.374], [0.787, 0.787, 0.787], [0.000, 0.000, 0.000], [0.087, 0.087, 0.087], [0.913, 0.913, 0.913]],
  "m_tot_mub_per_fu": 5.79,
  "crystal_system": "trigonal",
  "energy_ev_per_cell": -16.19
}

***

[14]
{
  "formula": "KLaCdS3",
  "functional": "PBE",
  "state": "optimized geometry",
  "lattice_angstrom": [[-9.065, 6.587, -3.327], [-0.432, -2.418, -3.613], [-7.690, -7.562, 5.981]],
  "species": ["S", "S", "S", "S", "S", "S", "S", "S", "S", "S", "S", "S", "Cd", "Cd", "Cd", "Cd", "La", "La", "La", "La", "K", "K", "K", "K"],
  "fractional_positions": [[0.044, 0.500, 0.828], [0.456, 0.000, 0.328], [0.782, 0.000, 0.814], [0.718, 0.500, 0.314], [0.600, 0.000, 0.058], [0.400, 0.500, 0.942], [0.218, 0.500, 0.186], [0.544, 0.500, 0.672], [0.282, 0.000, 0.686], [0.956, 0.000, 0.171], [0.100, 0.000, 0.442], [0.900, 0.500, 0.558], [0.255, 0.500, 0.790], [0.245, 0.000, 0.290], [0.755, 0.500, 0.710], [0.745, 0.000, 0.210], [0.481, 0.500, 0.172], [0.019, 0.000, 0.672], [0.981, 0.500, 0.328], [0.519, 0.000, 0.828], [0.340, 0.500, 0.502], [0.840, 0.500, 0.998], [0.160, 0.000, 0.002], [0.660, 0.000, 0.498]],
  "m_tot_mub_per_fu": 0.00,
  "crystal_system": "orthorhombic",
  "energy_ev_per_cell": -111.92
}

***

[15]
{
  "formula": "CoMoPbW",
  "functional": "PBE",
  "state": "optimized geometry",
  "lattice_angstrom": [[2.757, -2.296, 2.760], [-0.330, 0.531, 4.483], [-1.640, -3.352, 2.562]],
  "species": ["Co", "Mo", "Pb", "W"],
  "fractional_positions": [[0.750, 0.750, 0.750], [0.250, 0.250, 0.250], [0.000, 0.000, 0.000], [0.500, 0.500, 0.500]],
  "m_tot_mub_per_fu": 1.07,
  "crystal_system": "cubic",
  "polymorph_energy_ev_per_atom": 0.000
}

***

[16]
{
  "formula": "Ta11W2",
  "functional": "PBE",
  "state": "optimized geometry",
  "lattice_angstrom": [[-6.966, -3.360, 6.272], [-6.296, -7.267, 2.589], [-2.815, -6.803, 6.705]],
  "species": ["Ta", "Ta", "Ta", "Ta", "Ta", "Ta", "Ta", "Ta", "Ta", "Ta", "Ta", "W", "W"],
  "fractional_positions": [[0.089, 0.585, 0.089], [0.911, 0.415, 0.911], [0.000, 0.000, 0.000], [0.455, 0.455, 0.455], [0.545, 0.545, 0.545], [0.585, 0.089, 0.089], [0.352, 0.352, 0.352], [0.911, 0.911, 0.415], [0.089, 0.089, 0.585], [0.415, 0.911, 0.911], [0.648, 0.648, 0.648], [0.832, 0.832, 0.832], [0.168, 0.168, 0.168]],
  "m_tot_mub_per_fu": 0.13,
  "crystal_system": "trigonal",
  "polymorph_energy_ev_per_atom": 0.035,
  "formation_enthalpy_0k_kj_per_mol_fu": 227
}

***

[17]
{
  "formula": "Lu3AlN2",
  "functional": "PBE",
  "state": "optimized geometry",
  "lattice_angstrom": [[-2.855, 0.846, -1.569], [1.208, -3.129, -0.275], [-10.725, -5.590, 16.501]],
  "species": ["Al", "Al", "Lu", "Lu", "Lu", "Lu", "Lu", "Lu", "N", "N", "N", "N"],
  "fractional_positions": [[0.000, 0.000, 0.250], [0.000, 0.000, 0.750], [0.000, 0.000, 0.500], [0.667, 0.333, 0.130], [0.667, 0.333, 0.370], [0.333, 0.667, 0.870], [0.333, 0.667, 0.630], [0.000, 0.000, 0.000], [0.333, 0.667, 0.069], [0.333, 0.667, 0.431], [0.667, 0.333, 0.569], [0.667, 0.333, 0.931]],
  "m_tot_mub_per_fu": 0.00,
  "crystal_system": "hexagonal",
  "energy_ev_per_cell": -83.72
}

***

[18]
{
  "formula": "DyY2Fe2CoNi6",
  "functional": "PBE",
  "state": "optimized geometry",
  "lattice_angstrom": [[2.499, 1.443, 8.091], [-2.499, 1.443, 8.091], [0.000, -2.886, 8.091]],
  "species": ["Ni", "Ni", "Ni", "Ni", "Ni", "Ni", "Co", "Fe", "Fe", "Y", "Y", "Dy"],
  "fractional_positions": [[0.420, 0.420, 0.916], [0.420, 0.916, 0.420], [0.084, 0.580, 0.580], [0.580, 0.580, 0.084], [0.916, 0.420, 0.420], [0.580, 0.084, 0.580], [0.500, 0.500, 0.500], [0.668, 0.668, 0.668], [0.332, 0.332, 0.332], [0.140, 0.140, 0.140], [0.860, 0.860, 0.860], [0.000, 0.000, 0.000]],
  "m_tot_mub_per_fu": 6.81,
  "crystal_system": "trigonal",
  "formation_enthalpy_0k_kj_per_mol_fu": -340
}

***

[19]
{
  "formula": "KNaZrS3",
  "functional": "PBE",
  "state": "optimized geometry",
  "lattice_angstrom": [[-4.929, 4.736, 3.236], [-2.642, -0.962, -2.616], [-2.628, -7.633, 5.461]],
  "species": ["S", "S", "S", "S", "S", "S", "K", "K", "Zr", "Zr", "Na", "Na"],
  "fractional_positions": [[0.371, 0.250, 0.828], [0.629, 0.750, 0.172], [0.055, 0.250, 0.188], [0.191, 0.750, 0.517], [0.945, 0.750, 0.812], [0.809, 0.250, 0.483], [0.419, 0.250, 0.341], [0.581, 0.750, 0.659], [0.096, 0.250, 0.684], [0.904, 0.750, 0.316], [0.252, 0.750, 0.009], [0.748, 0.250, 0.991]],
  "m_tot_mub_per_fu": 0.00,
  "crystal_system": "monoclinic",
  "polymorph_energy_ev_per_atom": 0.000
}

***

[20]
{
  "formula": "ErTc4B4",
  "functional": "PBE",
  "state": "optimized geometry",
  "lattice_angstrom": [[7.332, 0.000, 0.000], [0.000, 7.332, 0.000], [0.000, 0.000, 4.255]],
  "species": ["Tc", "Tc", "Tc", "Tc", "Tc", "Tc", "Tc", "Tc", "B", "B", "B", "B", "B", "B", "B", "B", "Er", "Er"],
  "fractional_positions": [[0.626, 0.867, 0.867], [0.867, 0.374, 0.133], [0.367, 0.874, 0.367], [0.874, 0.633, 0.633], [0.133, 0.626, 0.133], [0.374, 0.133, 0.867], [0.633, 0.126, 0.367], [0.126, 0.367, 0.633], [0.316, 0.176, 0.368], [0.816, 0.676, 0.132], [0.324, 0.816, 0.868], [0.824, 0.316, 0.632], [0.184, 0.324, 0.132], [0.676, 0.184, 0.868], [0.684, 0.824, 0.368], [0.176, 0.684, 0.632], [0.000, 0.000, 0.000], [0.500, 0.500, 0.500]],
  "m_tot_mub_per_fu": 0.00,
  "crystal_system": "tetragonal",
  "energy_ev_per_cell": -153.16
}

***

The evaluated ρ for the records listed, in turn: 10065 5188 9658 12644 7312 10675 16672 6399 5076 4321 7462 9155 2628 4077 13822 16335 9597 8188 2936 8748 kg/m³.